Entry 1:
Ca3PmTh2Sb6 | PBE | optimized geometry

Results
The raw formation energy comes out at -22.527 kcal/mol of atoms. As for the crystal system: monoclinic.

Unit cell a=7.8784 b=7.8784 c=7.8007 alpha=99.68 beta=99.68 gamma=119.98
With the nearest neighbours (Å) after each atom.
Fractional coordinates of all 12 atoms:
1 Ca 0.0000 0.0000 0.0000  6 Sb 3.22-3.23
2 Ca 0.3339 0.6661 0.0000  6 Sb 3.22-3.23
3 Ca 0.6661 0.3339 0.0000  6 Sb 3.22-3.23
4 Pm 0.5000 0.5000 0.5000  6 Sb 3.19
5 Th 0.1667 0.8333 0.5000  6 Sb 3.18
6 Th 0.8333 0.1667 0.5000  6 Sb 3.18
7 Sb 0.0841 0.4184 0.2551  2 Th 3.18, 1 Pm 3.19, 3 Ca 3.23
8 Sb 0.2473 0.2473 0.7452  2 Th 3.18, 1 Pm 3.19, 3 Ca 3.22
9 Sb 0.4184 0.0841 0.2551  2 Th 3.18, 1 Pm 3.19, 3 Ca 3.23
10 Sb 0.5816 0.9159 0.7449  2 Th 3.18, 1 Pm 3.19, 3 Ca 3.23
11 Sb 0.7527 0.7527 0.2548  2 Th 3.18, 1 Pm 3.19, 3 Ca 3.22
12 Sb 0.9159 0.5816 0.7449  2 Th 3.18, 1 Pm 3.19, 3 Ca 3.23

=====

Entry 2:
CaPmTlSb | PBE | optimized geometry

Results
The raw formation energy comes out at -12.767 kcal/mol of atoms. As for the crystal system: cubic.

Unit cell a=5.4885 b=5.4885 c=5.4885 alpha=60.00 beta=60.00 gamma=60.00
With the nearest neighbours (Å) after each atom.
Fractional coordinates of all 4 atoms:
1 Ca 0.0000 0.0000 0.0000  4 Tl 3.36, 4 Sb 3.36
2 Pm 0.5000 0.5000 0.5000  4 Tl 3.36, 4 Sb 3.36
3 Tl 0.7500 0.7500 0.7500  4 Pm 3.36, 4 Ca 3.36
4 Sb 0.2500 0.2500 0.2500  4 Pm 3.36, 4 Ca 3.36

=====

Entry 3:
CaPm2TmSb4 | PBE | optimized geometry

Results
The raw formation energy comes out at -23.910 kcal/mol of atoms. As for the crystal system: monoclinic.

Unit cell a=7.6958 b=4.4472 c=7.7793 alpha=90.00 beta=109.32 gamma=90.00
With the nearest neighbours (Å) after each atom.
Fractional coordinates of all 8 atoms:
1 Ca 0.0000 0.0000 0.0000  6 Sb 3.16
2 Pm 0.5000 0.0000 0.5000  6 Sb 3.15
3 Pm 0.5000 0.5000 0.0000  6 Sb 3.20
4 Tm 0.0000 0.5000 0.5000  6 Sb 3.11
5 Sb 0.2431 0.0000 0.7425  2 Tm 3.11, 3 Pm 3.15-3.20, 1 Ca 3.16
6 Sb 0.2476 0.5000 0.2553  1 Tm 3.11, 3 Pm 3.15-3.20, 2 Ca 3.16
7 Sb 0.7524 0.5000 0.7447  1 Tm 3.11, 3 Pm 3.15-3.20, 2 Ca 3.16
8 Sb 0.7569 0.0000 0.2575  2 Tm 3.11, 3 Pm 3.15-3.20, 1 Ca 3.16

=====

Entry 4:
CaPm2USb4 | PBE | optimized geometry

Results
The raw formation energy comes out at -19.727 kcal/mol of atoms. As for the crystal system: monoclinic.

Unit cell a=7.7301 b=4.4687 c=7.7345 alpha=90.00 beta=109.09 gamma=90.00
With the nearest neighbours (Å) after each atom.
Fractional coordinates of all 8 atoms:
1 Ca 0.0000 0.0000 0.0000  6 Sb 3.15-3.17
2 Pm 0.0000 0.5000 0.5000  6 Sb 3.21-3.22
3 Pm 0.5000 0.0000 0.5000  6 Sb 3.15-3.16
4 U 0.5000 0.5000 0.0000  6 Sb 3.07-3.12
5 Sb 0.2575 0.0000 0.7567  2 U 3.12, 3 Pm 3.15-3.21, 1 Ca 3.15
6 Sb 0.2570 0.5000 0.2451  1 U 3.07, 3 Pm 3.16-3.22, 2 Ca 3.17
7 Sb 0.7425 0.0000 0.2433  2 U 3.12, 3 Pm 3.15-3.21, 1 Ca 3.15
8 Sb 0.7430 0.5000 0.7549  1 U 3.07, 3 Pm 3.16-3.22, 2 Ca 3.17

=====

Entry 5:
CaPm2YSb4 | PBE | optimized geometry

Results
The raw formation energy comes out at -24.520 kcal/mol of atoms. As for the crystal system: monoclinic.

Unit cell a=7.7383 b=4.4582 c=7.7945 alpha=90.00 beta=109.29 gamma=90.00
With the nearest neighbours (Å) after each atom.
Fractional coordinates of all 8 atoms:
1 Ca 0.0000 0.0000 0.0000  6 Sb 3.17-3.18
2 Pm 0.5000 0.0000 0.5000  6 Sb 3.15-3.16
3 Pm 0.5000 0.5000 0.0000  6 Sb 3.19-3.20
4 Y 0.0000 0.5000 0.5000  6 Sb 3.14
5 Sb 0.2459 0.0000 0.7451  2 Y 3.14, 3 Pm 3.16-3.19, 1 Ca 3.17
6 Sb 0.2495 0.5000 0.2542  1 Y 3.14, 3 Pm 3.15-3.20, 2 Ca 3.18
7 Sb 0.7505 0.5000 0.7458  1 Y 3.14, 3 Pm 3.15-3.20, 2 Ca 3.18
8 Sb 0.7541 0.0000 0.2549  2 Y 3.14, 3 Pm 3.16-3.19, 1 Ca 3.17

=====

Entry 6:
CaPmZnSb | PBE | optimized geometry

Results
The raw formation energy comes out at -12.442 kcal/mol of atoms. As for the crystal system: cubic.

Unit cell a=5.3173 b=5.3173 c=5.3173 alpha=60.00 beta=60.00 gamma=60.00
With the nearest neighbours (Å) after each atom.
Fractional coordinates of all 4 atoms:
1 Ca 0.0000 0.0000 0.0000  4 Sb 3.26, 4 Zn 3.26
2 Pm 0.5000 0.5000 0.5000  4 Sb 3.26, 4 Zn 3.26
3 Zn 0.2500 0.2500 0.2500  4 Ca 3.26, 4 Pm 3.26
4 Sb 0.7500 0.7500 0.7500  4 Ca 3.26, 4 Pm 3.26

=====

Entry 7:
CaPmSc2 | PBE | optimized geometry

Results
As for the crystal system: cubic. The calculation puts the energy above the most stable polymorph in this dataset at 52 meV per atom.

Unit cell a=5.5318 b=5.5318 c=5.5318 alpha=60.00 beta=60.00 gamma=60.00
With the nearest neighbours (Å) after each atom.
Fractional coordinates of all 4 atoms:
1 Ca 0.0000 0.0000 0.0000  8 Sc 3.39
2 Pm 0.5000 0.5000 0.5000  8 Sc 3.39
3 Sc 0.2500 0.2500 0.2500  4 Ca 3.39, 4 Pm 3.39
4 Sc 0.7500 0.7500 0.7500  4 Pm 3.39, 4 Ca 3.39

=====

Entry 8:
CaPmSc2 | PBE | optimized geometry

Results
As for the crystal system: trigonal. The calculation puts the energy above the most stable polymorph in this dataset at 5 meV per atom.

Unit cell a=11.6336 b=11.6336 c=11.6336 alpha=17.25 beta=17.25 gamma=17.25
With the nearest neighbours (Å) after each atom.
Fractional coordinates of all 4 atoms:
1 Ca 0.0000 0.0000 0.0000  6 Ca 3.49, 6 Sc 3.62
2 Pm 0.5000 0.5000 0.5000  6 Sc 3.39, 6 Pm 3.49
3 Sc 0.2459 0.2459 0.2459  3 Pm 3.39, 6 Sc 3.49, 3 Ca 3.62
4 Sc 0.7541 0.7541 0.7541  3 Pm 3.39, 6 Sc 3.49, 3 Ca 3.62

=====

Entry 9:
CaPmSc | PBE | optimized geometry

Results
As for the crystal system: tetragonal. The calculation puts the energy above the most stable polymorph in this dataset at 0 meV per atom.

Unit cell a=3.6357 b=3.6357 c=14.8547 alpha=90.00 beta=90.00 gamma=90.00
With the nearest neighbours (Å) after each atom.
Fractional coordinates of all 6 atoms:
1 Ca 0.2500 0.2500 0.2269  4 Sc 3.57, 4 Ca 3.64, 4 Pm 3.84
2 Ca 0.7500 0.7500 0.7731  4 Sc 3.57, 4 Ca 3.64, 4 Pm 3.84
3 Pm 0.2500 0.2500 0.5814  8 Pm 3.53-3.64, 4 Ca 3.84
4 Pm 0.7500 0.7500 0.4186  8 Pm 3.53-3.64, 4 Ca 3.84
5 Sc 0.2500 0.2500 0.9401  4 Sc 3.13
6 Sc 0.7500 0.7500 0.0599  4 Sc 3.13

=====

Entry 10:
CaPmSc | PBE | optimized geometry

Results
As for the crystal system: tetragonal. The calculation puts the energy above the most stable polymorph in this dataset at 10 meV per atom.

Unit cell a=7.9191 b=7.9191 c=7.9191 alpha=153.62 beta=153.62 gamma=37.66
With the nearest neighbours (Å) after each atom.
Fractional coordinates of all 3 atoms:
1 Ca 0.0000 0.0000 0.0000  4 Sc 3.60, 4 Ca 3.61, 4 Pm 3.80
2 Pm 0.3124 0.3124 0.0000  4 Sc 3.34, 4 Pm 3.61
3 Sc 0.6688 0.6688 0.0000  4 Pm 3.34, 4 Ca 3.60, 4 Sc 3.61

=====

Entry 11:
CaPmSc | PBE | optimized geometry

Results
As for the crystal system: trigonal. The calculation puts the energy above the most stable polymorph in this dataset at 23 meV per atom.

Unit cell a=3.5651 b=3.5651 c=8.8392 alpha=90.00 beta=90.00 gamma=120.00
With the nearest neighbours (Å) after each atom.
Fractional coordinates of all 3 atoms:
1 Ca 0.0000 0.0000 0.0000  6 Ca 3.57, 3 Sc 3.60, 3 Pm 3.86
2 Pm 0.3333 0.6667 0.6311  3 Sc 3.34, 6 Pm 3.57
3 Sc 0.6667 0.3333 0.3336  3 Pm 3.34, 6 Sc 3.57, 3 Ca 3.60

=====

Entry 12:
CaPmSc2 | PBE | optimized geometry

Results
As for the crystal system: tetragonal. The calculation puts the energy above the most stable polymorph in this dataset at 0 meV per atom.

Unit cell a=3.5248 b=3.5248 c=9.8437 alpha=90.00 beta=90.00 gamma=90.00
With the nearest neighbours (Å) after each atom.
Fractional coordinates of all 4 atoms:
1 Ca 0.0000 0.0000 0.0000  4 Ca 3.52, 8 Sc 3.63
2 Pm 0.0000 0.0000 0.5000  8 Sc 3.38, 4 Pm 3.52
3 Sc 0.5000 0.5000 0.2685  4 Pm 3.38, 4 Sc 3.52, 4 Ca 3.63
4 Sc 0.5000 0.5000 0.7315  4 Pm 3.38, 4 Sc 3.52, 4 Ca 3.63

=====

The records above yield final energy values of -62.05; -15.46; -40.76; -46.12; -42.96; -14.31; -18.62; -18.80; -25.59; -12.77; -12.73; -18.82 eV per cell, respectively.
The records above yield total magnetization values of 0.000; 0.000; 0.000; 0.246; 0.000; 0.000; 0.000; 0.000; 0.078; 0.000; 0.000; 0.073 μB/atom, respectively.